Entry from the Alexandria database: a geometry-optimized Na4Tl5Hg2 structure (PBE-GGA).

DOS(E_F) = 5.46 states/eV/cell
formation energy from the elements = -123 meV/atom

Geometry as POSCAR:
```
Na4Tl5Hg2
1.0
-2.7043 -1.3447 1.7538
-2.2356 -4.2936 -6.7392
6.3854 -7.6407 3.9877
Tl Na Hg
5 4 2
direct
0.0000 0.8207 0.8463
0.0000 0.5000 0.0000
0.0000 0.1793 0.1537
0.0000 0.4468 0.6934
0.0000 0.5532 0.3066
0.5000 0.2640 0.4395
0.5000 0.8235 0.1199
0.5000 0.7360 0.5605
0.5000 0.1765 0.8801
0.0000 0.9334 0.3620
0.0000 0.0666 0.6380
```

Entry from the Alexandria database: a geometry-optimized BeAg4Au structure (PBE-GGA).

DOS(E_F) = 3.01 states/eV/cell
formation energy from the elements = 479 meV/atom

Geometry as POSCAR:
```
BeAg4Au
1.0
0.0000 3.8179 3.8179
3.8179 0.0000 3.8179
3.8179 3.8179 0.0000
Ag Be Au
4 1 1
direct
0.8757 0.3748 0.3748
0.3748 0.3748 0.3748
0.3748 0.8757 0.3748
0.3748 0.3748 0.8757
0.0000 0.0000 0.0000
0.7500 0.7500 0.7500
```

Number 1: raw total energy -19.061 eV/cell. Number 2: raw total energy -15.534 eV/cell.